Below is a geometry-optimized Rb3Tl2F9 structure, with properties calculated at the PBE level.

a = 8.117 Å, b = 8.117 Å, c = 8.117 Å
α = 87.62°, β = 87.62°, γ = 87.62°
Fractional positions:
Rb 0.083 0.417 0.750
Rb 0.250 0.917 0.583
Rb 0.417 0.750 0.083
Rb 0.583 0.250 0.917
Rb 0.750 0.083 0.417
Rb 0.917 0.583 0.250
Tl 0.138 0.138 0.138
Tl 0.362 0.362 0.362
Tl 0.638 0.638 0.638
Tl 0.862 0.862 0.862
F 0.072 0.913 0.265
F 0.087 0.735 0.928
F 0.105 0.250 0.395
F 0.235 0.587 0.428
F 0.250 0.395 0.105
F 0.265 0.072 0.913
F 0.395 0.105 0.250
F 0.413 0.572 0.765
F 0.428 0.235 0.587
F 0.572 0.765 0.413
F 0.587 0.428 0.235
F 0.605 0.895 0.750
F 0.735 0.928 0.087
F 0.750 0.605 0.895
F 0.765 0.413 0.572
F 0.895 0.750 0.605
F 0.913 0.265 0.072
F 0.928 0.087 0.735

Summary:
As for the energy relative to the elements, uncorrected: -2.269 eV per atom.